# 1
# PBE-GGA ZrCuSiHg, relaxed
# calculated volume	71	Å³ per cell
# electronic total energy	-4.418	eV per atom
# space group	F-43m, No. 216
# distance to the lowest polymorph of the same formula	0.0	meV per atom
data_ZrCuSiHg
_cell_length_a 4.6481
_cell_length_b 4.6481
_cell_length_c 4.6481
_cell_angle_alpha 60.00
_cell_angle_beta 60.00
_cell_angle_gamma 60.00
_symmetry_space_group_name_H-M 'P 1'
_symmetry_Int_Tables_number 1
_symmetry_space_group_name_Hall 'P 1'
loop_
_atom_site_label
_atom_site_type_symbol
_atom_site_fract_x
_atom_site_fract_y
_atom_site_fract_z
Cu1 Cu 0.7500 0.7500 0.7500
Hg1 Hg 0.5000 0.5000 0.5000
Si1 Si 0.0000 0.0000 0.0000
Zr1 Zr 0.2500 0.2500 0.2500

# 2
# PBE-GGA SmCuHg, relaxed
# calculated volume	81	Å³ per cell
# electronic total energy	-2.767	eV per atom
# DFT formation energy	41.0	kJ/mol of formula units
# space group	F-43m, No. 216
data_SmCuHg
_cell_length_a 4.8597
_cell_length_b 4.8597
_cell_length_c 4.8597
_cell_angle_alpha 60.00
_cell_angle_beta 60.00
_cell_angle_gamma 60.00
_symmetry_space_group_name_H-M 'P 1'
_symmetry_Int_Tables_number 1
_symmetry_space_group_name_Hall 'P 1'
loop_
_atom_site_label
_atom_site_type_symbol
_atom_site_fract_x
_atom_site_fract_y
_atom_site_fract_z
Cu1 Cu 0.2500 0.2500 0.2500
Hg1 Hg 0.7500 0.7500 0.7500
Sm1 Sm 0.0000 0.0000 0.0000

# 3
# PBE-GGA Sm2Cu2Hg, relaxed
# calculated volume	112	Å³ per cell
# electronic total energy	-3.763	eV per atom
# DFT formation energy	-160.4	kJ/mol of formula units
# space group	Cmmm, No. 65
data_Sm2Cu2Hg
_cell_length_a 7.4405
_cell_length_b 7.4405
_cell_length_c 3.7273
_cell_angle_alpha 90.00
_cell_angle_beta 90.00
_cell_angle_gamma 147.26
_symmetry_space_group_name_H-M 'P 1'
_symmetry_Int_Tables_number 1
_symmetry_space_group_name_Hall 'P 1'
loop_
_atom_site_label
_atom_site_type_symbol
_atom_site_fract_x
_atom_site_fract_y
_atom_site_fract_z
Cu1 Cu 0.7977 0.2023 0.0000
Cu2 Cu 0.2023 0.7977 0.0000
Hg1 Hg 0.0000 0.0000 0.0000
Sm1 Sm 0.6320 0.3680 0.5000
Sm2 Sm 0.3680 0.6320 0.5000

# 4
# PBE-GGA SmCuHgTe3, relaxed
# calculated volume	353	Å³ per cell
# electronic total energy	-3.558	eV per atom
# space group	Cmcm, No. 63
data_SmCuHgTe3
_cell_length_a 7.7051
_cell_length_b 7.7051
_cell_length_c 11.4598
_cell_angle_alpha 90.00
_cell_angle_beta 90.00
_cell_angle_gamma 148.78
_symmetry_space_group_name_H-M 'P 1'
_symmetry_Int_Tables_number 1
_symmetry_space_group_name_Hall 'P 1'
loop_
_atom_site_label
_atom_site_type_symbol
_atom_site_fract_x
_atom_site_fract_y
_atom_site_fract_z
Cu1 Cu 0.4732 0.5268 0.2500
Cu2 Cu 0.5268 0.4732 0.7500
Hg1 Hg 0.7507 0.2493 0.2500
Hg2 Hg 0.2493 0.7507 0.7500
Sm1 Sm 0.0000 0.0000 0.0000
Sm2 Sm 0.0000 0.0000 0.5000
Te1 Te 0.3556 0.6444 0.0790
Te2 Te 0.0903 0.9097 0.2500
Te3 Te 0.3556 0.6444 0.4210
Te4 Te 0.6444 0.3556 0.5790
Te5 Te 0.9097 0.0903 0.7500
Te6 Te 0.6444 0.3556 0.9210

# 5
# PBE-GGA Cu2SnHg, relaxed
# calculated volume	74	Å³ per cell
# electronic total energy	-2.606	eV per atom
# space group	F-43m, No. 216
data_Cu2SnHg
_cell_length_a 4.7022
_cell_length_b 4.7022
_cell_length_c 4.7022
_cell_angle_alpha 60.00
_cell_angle_beta 60.00
_cell_angle_gamma 60.00
_symmetry_space_group_name_H-M 'P 1'
_symmetry_Int_Tables_number 1
_symmetry_space_group_name_Hall 'P 1'
loop_
_atom_site_label
_atom_site_type_symbol
_atom_site_fract_x
_atom_site_fract_y
_atom_site_fract_z
Cu1 Cu 0.0000 0.0000 0.0000
Cu2 Cu 0.7500 0.7500 0.7500
Hg1 Hg 0.2500 0.2500 0.2500
Sn1 Sn 0.5000 0.5000 0.5000

# 6
# PBE-GGA CuSn2Hg, relaxed
# calculated volume	93	Å³ per cell
# electronic total energy	-2.734	eV per atom
# space group	F-43m, No. 216
data_CuSn2Hg
_cell_length_a 5.0764
_cell_length_b 5.0764
_cell_length_c 5.0764
_cell_angle_alpha 60.00
_cell_angle_beta 60.00
_cell_angle_gamma 60.00
_symmetry_space_group_name_H-M 'P 1'
_symmetry_Int_Tables_number 1
_symmetry_space_group_name_Hall 'P 1'
loop_
_atom_site_label
_atom_site_type_symbol
_atom_site_fract_x
_atom_site_fract_y
_atom_site_fract_z
Cu1 Cu 0.2500 0.2500 0.2500
Hg1 Hg 0.5000 0.5000 0.5000
Sn1 Sn 0.0000 0.0000 0.0000
Sn2 Sn 0.7500 0.7500 0.7500

What did the fourth record say?
# PBE-GGA SmCuHgTe3, relaxed
# calculated volume	353	Å³ per cell
# electronic total energy	-3.558	eV per atom
# space group	Cmcm, No. 63
data_SmCuHgTe3
_cell_length_a 7.7051
_cell_length_b 7.7051
_cell_length_c 11.4598
_cell_angle_alpha 90.00
_cell_angle_beta 90.00
_cell_angle_gamma 148.78
_symmetry_space_group_name_H-M 'P 1'
_symmetry_Int_Tables_number 1
_symmetry_space_group_name_Hall 'P 1'
loop_
_atom_site_label
_atom_site_type_symbol
_atom_site_fract_x
_atom_site_fract_y
_atom_site_fract_z
Cu1 Cu 0.4732 0.5268 0.2500
Cu2 Cu 0.5268 0.4732 0.7500
Hg1 Hg 0.7507 0.2493 0.2500
Hg2 Hg 0.2493 0.7507 0.7500
Sm1 Sm 0.0000 0.0000 0.0000
Sm2 Sm 0.0000 0.0000 0.5000
Te1 Te 0.3556 0.6444 0.0790
Te2 Te 0.0903 0.9097 0.2500
Te3 Te 0.3556 0.6444 0.4210
Te4 Te 0.6444 0.3556 0.5790
Te5 Te 0.9097 0.0903 0.7500
Te6 Te 0.6444 0.3556 0.9210

Among the records above, which one has the lowest electronic total energy? ZrCuSiHg